1.
Material: TiCdSbF2
Method: DFT, PBE-GGA
State: optimized geometry

Results
For the calculated total energy, the calculation gives -5.03 eV per atom.

The structure in POSCAR format:
```
TiCdSbF2
1.0
4.080 0.000 0.000
0.000 4.080 0.000
0.000 0.000 5.834
Ti Cd Sb F
1 1 1 2
direct
0.000 0.000 0.000
0.500 0.500 0.500
0.000 0.000 0.500
0.000 0.500 0.000
0.500 0.000 0.000
```

2.
Material: TaAl2GaCo
Method: DFT, PBE-GGA
State: optimized geometry

Results
The energy of formation comes out at 0.187 eV/atom. For the calculated total energy, the calculation gives -5.71 eV per atom. The calculation puts the energy relative to the lowest polymorph listed for this composition at 0.0 meV per atom.

The structure in POSCAR format:
```
TaAl2GaCo
1.0
4.369 0.000 0.000
0.000 4.369 0.000
0.000 0.000 4.692
Ta Al Ga Co
1 2 1 1
direct
0.000 0.000 0.000
0.000 0.500 0.500
0.500 0.000 0.500
0.500 0.500 0.000
0.000 0.000 0.500
```

3.
Material: CeAl
Method: DFT, PBE-GGA
State: optimized geometry

Results
The energy of formation comes out at -0.240 eV/atom. For the calculated total energy, the calculation gives -5.08 eV per atom.

The structure in POSCAR format:
```
CeAl
1.0
3.670 0.000 0.000
0.000 3.670 0.000
0.000 0.000 3.670
Ce Al
1 1
direct
0.000 0.000 0.000
0.500 0.500 0.500
```

4.
Material: Sn3HIr
Method: DFT, PBE-GGA
State: optimized geometry

Results
For the calculated total energy, the calculation gives -4.30 eV per atom. The calculation puts the energy relative to the lowest polymorph listed for this composition at 58.1 meV per atom.

The structure in POSCAR format:
```
Sn3HIr
1.0
5.144 0.000 0.000
0.000 5.144 0.000
0.000 0.000 5.144
Sn H Ir
3 1 1
direct
0.000 0.000 0.500
0.000 0.500 0.000
0.500 0.000 0.000
0.500 0.500 0.500
0.000 0.000 0.000
```

5.
Material: Ac2TmCdO6
Method: DFT, PBE-GGA
State: optimized geometry

Results
For the calculated total energy, the calculation gives -7.06 eV per atom.

The structure in POSCAR format:
```
Ac2TmCdO6
1.0
5.966 0.000 0.000
0.000 6.191 0.000
-5.845 0.000 8.598
Ac Tm Cd O
4 2 2 12
direct
0.231 0.055 0.247
0.231 0.445 0.747
0.769 0.555 0.253
0.769 0.945 0.753
0.500 0.000 0.000
0.500 0.500 0.500
0.000 0.000 0.500
0.000 0.500 0.000
0.144 0.194 0.942
0.144 0.306 0.442
0.241 0.707 0.934
0.241 0.793 0.434
0.372 0.051 0.756
0.372 0.449 0.256
0.628 0.551 0.744
0.628 0.949 0.244
0.759 0.207 0.566
0.759 0.293 0.066
0.856 0.694 0.558
0.856 0.806 0.058
```

6.
Material: LiGaC
Method: DFT, PBE-GGA
State: optimized geometry

Results
The energy of formation comes out at 0.137 eV/atom. For the calculated total energy, the calculation gives -4.58 eV per atom.

The structure in POSCAR format:
```
LiGaC
1.0
3.450 0.000 0.000
1.640 3.996 0.000
1.504 0.616 6.007
Li Ga C
2 2 2
direct
0.184 0.228 0.374
0.816 0.772 0.626
0.385 0.297 0.918
0.615 0.703 0.082
0.475 0.620 0.417
0.525 0.380 0.583
```

7.
Material: Tb12Be3N5
Method: DFT, PBE-GGA
State: optimized geometry

Results
For the calculated total energy, the calculation gives -6.05 eV per atom.

The structure in POSCAR format:
```
Tb12Be3N5
1.0
-7.611 7.611 7.611
7.611 -7.611 7.611
7.611 7.611 -7.611
Tb Be N
48 12 20
direct
0.023 0.205 0.118
0.023 0.318 0.905
0.087 0.705 0.682
0.087 0.882 0.405
0.095 0.618 0.413
0.095 0.977 0.682
0.118 0.023 0.205
0.118 0.595 0.913
0.182 0.205 0.587
0.182 0.477 0.595
0.205 0.118 0.023
0.205 0.587 0.182
0.295 0.318 0.913
0.295 0.477 0.382
0.318 0.905 0.023
0.318 0.913 0.295
0.382 0.295 0.477
0.382 0.587 0.905
0.405 0.087 0.882
0.405 0.818 0.523
0.413 0.095 0.618
0.413 0.818 0.795
0.477 0.382 0.295
0.477 0.595 0.182
0.523 0.405 0.818
0.523 0.618 0.705
0.587 0.182 0.205
0.587 0.905 0.382
0.595 0.182 0.477
0.595 0.913 0.118
0.618 0.413 0.095
0.618 0.705 0.523
0.682 0.087 0.705
0.682 0.095 0.977
0.705 0.523 0.618
0.705 0.682 0.087
0.795 0.413 0.818
0.795 0.882 0.977
0.818 0.523 0.405
0.818 0.795 0.413
0.882 0.405 0.087
0.882 0.977 0.795
0.905 0.023 0.318
0.905 0.382 0.587
0.913 0.118 0.595
0.913 0.295 0.318
0.977 0.682 0.095
0.977 0.795 0.882
0.125 0.250 0.375
0.125 0.375 0.750
0.250 0.375 0.125
0.250 0.875 0.625
0.375 0.125 0.250
0.375 0.750 0.125
0.625 0.250 0.875
0.625 0.875 0.750
0.750 0.125 0.375
0.750 0.625 0.875
0.875 0.625 0.250
0.875 0.750 0.625
0.000 0.000 0.000
0.000 0.000 0.500
0.000 0.500 0.000
0.000 0.500 0.500
0.125 0.750 0.875
0.125 0.875 0.250
0.250 0.125 0.875
0.250 0.625 0.375
0.375 0.250 0.625
0.375 0.625 0.750
0.500 0.000 0.000
0.500 0.000 0.500
0.500 0.500 0.000
0.500 0.500 0.500
0.625 0.375 0.250
0.625 0.750 0.375
0.750 0.375 0.625
0.750 0.875 0.125
0.875 0.125 0.750
0.875 0.250 0.125
```

8.
Material: Tb2DyBiC
Method: DFT, PBE-GGA
State: optimized geometry

Results
The energy of formation comes out at -0.529 eV/atom. For the calculated total energy, the calculation gives -5.92 eV per atom.

The structure in POSCAR format:
```
Tb2DyBiC
1.0
4.956 0.000 0.000
0.000 4.956 0.000
0.000 0.000 4.919
Tb Dy Bi C
2 1 1 1
direct
0.000 0.500 0.000
0.500 0.000 0.000
0.000 0.000 0.500
0.500 0.500 0.500
0.000 0.000 0.000
```

9.
Material: Li2Er3Cd6
Method: DFT, PBE-GGA
State: optimized geometry

Results
The energy of formation comes out at -0.144 eV/atom. For the calculated total energy, the calculation gives -2.24 eV per atom.

The structure in POSCAR format:
```
Li2Er3Cd6
1.0
-2.194 2.194 13.335
2.194 -2.194 13.335
2.194 2.194 -13.335
Li Er Cd
2 3 6
direct
0.045 0.045 0.000
0.955 0.955 0.000
0.295 0.295 0.000
0.500 0.500 0.000
0.705 0.705 0.000
0.101 0.601 0.500
0.180 0.180 0.000
0.399 0.899 0.500
0.601 0.101 0.500
0.820 0.820 0.000
0.899 0.399 0.500
```

10.
Material: CoSbRu2
Method: DFT, PBE-GGA
State: optimized geometry

Results
For the calculated total energy, the calculation gives -7.14 eV per atom.

The structure in POSCAR format:
```
CoSbRu2
1.0
0.000 3.110 3.110
3.110 0.000 3.110
3.110 3.110 0.000
Co Sb Ru
1 1 2
direct
0.000 0.000 0.000
0.750 0.750 0.750
0.250 0.250 0.250
0.500 0.500 0.500
```

11.
Material: CoCuHgOsRu
Method: DFT, PBE-GGA
State: optimized geometry

Results
The energy of formation comes out at 0.315 eV/atom. For the calculated total energy, the calculation gives -6.09 eV per atom. The calculation puts the energy relative to the lowest polymorph listed for this composition at 37.7 meV per atom.

The structure in POSCAR format:
```
CoCuHgOsRu
1.0
-1.381 1.840 7.186
1.381 -1.840 7.186
1.381 1.840 -7.186
Co Cu Hg Os Ru
1 1 1 1 1
direct
0.000 0.000 0.000
0.588 0.588 0.000
0.196 0.196 0.000
0.412 0.412 0.000
0.825 0.825 0.000
```

12.
Material: PuNp3S6
Method: DFT, PBE-GGA
State: optimized geometry

Results
For the calculated total energy, the calculation gives -9.27 eV per atom.

The structure in POSCAR format:
```
PuNp3S6
1.0
10.816 0.000 0.000
0.000 3.977 0.000
-3.391 0.000 10.761
Pu Np S
2 6 12
direct
0.049 0.250 0.191
0.951 0.750 0.809
0.159 0.250 0.583
0.314 0.750 0.999
0.435 0.250 0.332
0.565 0.750 0.668
0.686 0.250 0.001
0.841 0.750 0.417
0.086 0.750 0.405
0.118 0.250 0.959
0.194 0.750 0.748
0.261 0.750 0.227
0.400 0.250 0.561
0.481 0.250 0.112
0.519 0.750 0.888
0.600 0.750 0.439
0.739 0.250 0.773
0.806 0.250 0.252
0.882 0.750 0.041
0.914 0.250 0.595
```

| no. | Fermi-level density of states (states/eV/f.u.) | total moment (μB/f.u.) |
| --- | --- | --- |
| 1 | 3.40 | 0.98 |
| 2 | 2.69 | 0.00 |
| 3 | 5.72 | 0.87 |
| 4 | 6.96 | 0.45 |
| 5 | 6.98 | 1.01 |
| 6 | 0.72 | 0.00 |
| 7 | 14.56 | 0.00 |
| 8 | 3.34 | 0.00 |
| 9 | 9.57 | 0.00 |
| 10 | 5.34 | 3.40 |
| 11 | 4.98 | 1.17 |
| 12 | 31.62 | 17.00 |